[1]
This record from the Alexandria database describes a relaxed structure of MgSbSeBr2. The functional is PBE.

Computed properties:
The energy above the most stable polymorph in this dataset comes out at 0 kJ/mol of formula units.

Cell: 5.0013 5.0013 5.4315 Å, 90.00 90.00 90.00°
Sites, in units of the cell vectors:
Mg 0.0000 0.0000 0.0000
Sb 0.5000 0.5000 0.5000
Se 0.0000 0.0000 0.5000
Br 0.0000 0.5000 0.0000
Br 0.5000 0.0000 0.0000

[2]
This record from the Alexandria database describes a relaxed structure of MgSnSbBr2. The functional is PBE.

Cell: 5.7346 5.7346 5.6955 Å, 90.00 90.00 90.00°
Sites, in units of the cell vectors:
Mg 0.0000 0.0000 0.0000
Sn 0.0000 0.0000 0.5000
Sb 0.5000 0.5000 0.0000
Br 0.0000 0.5000 0.5000
Br 0.5000 0.0000 0.5000

[3]
This record from the Alexandria database describes a relaxed structure of SrMgSbBr. The functional is PBE.

Cell: 14.4614 14.4614 14.4614 Å, 18.82 18.82 18.82°
Sites, in units of the cell vectors:
Sr 0.0935 0.0935 0.0935
Sr 0.9065 0.9065 0.9065
Mg 0.3099 0.3099 0.3099
Mg 0.6901 0.6901 0.6901
Sb 0.3786 0.3786 0.3786
Sb 0.6214 0.6214 0.6214
Br 0.2054 0.2054 0.2054
Br 0.7946 0.7946 0.7946

Values of energy relative to the elements, uncorrected, in order: -0.346 0.146 -1.262, all in eV/atom.